CrAgAu6: relaxed, PBE.

```
CrAgAu6
1.0
4.140 0.000 0.000
0.000 4.140 0.000
0.000 0.000 8.254
Cr Ag Au
1 1 6
direct
0.000 0.000 0.000 Cr
0.000 0.000 0.500 Ag
0.000 0.500 0.245 Au
0.000 0.500 0.755 Au
0.500 0.000 0.245 Au
0.500 0.000 0.755 Au
0.500 0.500 0.000 Au
0.500 0.500 0.500 Au
```

Computed properties:
* ΔH_f (0 K): 0.0045 eV per atom
* energy: -32.103 eV per cell
* space group: P4/mmm

***

CrAg3Au12: relaxed, PBE.

```
CrAg3Au12
1.0
4.147 0.000 0.000
0.000 4.147 0.000
0.000 0.000 16.585
Cr Ag Au
1 3 12
direct
0.000 0.000 0.000 Cr
0.000 0.000 0.249 Ag
0.000 0.000 0.500 Ag
0.000 0.000 0.751 Ag
0.000 0.500 0.122 Au
0.000 0.500 0.374 Au
0.000 0.500 0.626 Au
0.000 0.500 0.878 Au
0.500 0.000 0.122 Au
0.500 0.000 0.374 Au
0.500 0.000 0.626 Au
0.500 0.000 0.878 Au
0.500 0.500 0.000 Au
0.500 0.500 0.248 Au
0.500 0.500 0.500 Au
0.500 0.500 0.752 Au
```

Computed properties:
* ΔH_f (0 K): -0.0142 eV per atom
* energy: -57.732 eV per cell
* space group: P4/mmm

***

- Number 2 is which compound?
  CrAg3Au12